VNiO2: optimized geometry, GGA+U.

Output
Magnetization, μB per formula unit: 2.7
Energy, eV/atom: -6.256
Excess energy over the best structure of this formula in the dataset, meV/atom: 67

Unit cell a=6.143 b=6.143 c=6.143 alpha=28.65 beta=28.65 gamma=28.65
Fractional positions:
V (0.000, 0.000, 0.000)
Ni (0.500, 0.500, 0.500)
O (0.392, 0.392, 0.392)
O (0.608, 0.608, 0.608)